Record 1
The following is a DFT calculation (GGA-PBE) of an optimized crystal structure of CdSiNi3.

## Properties
Fermi-level density of states = 3.01 states/eV per atom
Size of the total moment = 0.57 μB/f.u.
Raw formation energy = 1.48 eV per atom
ΔE to the lowest computed polymorph = 1.325 eV/atom

Lattice parameters (Å, degrees): 4.618 4.618 4.618 90.00 90.00 90.00
Space group Pm-3m (No. 221)
Symmetry-distinct sites (fractional):
Cd (0.000, 0.000, 0.000) [1 per cell]
Si (0.500, 0.500, 0.500) [1 per cell]
Ni (0.000, 0.000, 0.500) [3 per cell]

=====

Record 2
The following is a DFT calculation (GGA-PBE) of an optimized crystal structure of CdSiNi2.

## Properties
Fermi-level density of states = 0.54 states/eV per atom
Size of the total moment = 0.00 μB/f.u.
Raw formation energy = -0.30 eV per atom
ΔE to the lowest computed polymorph = 0.000 eV/atom

Lattice parameters (Å, degrees): 2.839 2.839 6.579 90.00 90.00 90.00
Space group P4/mmm (No. 123)
Symmetry-distinct sites (fractional):
Cd (0.000, 0.000, 0.000) [1 per cell]
Si (0.000, 0.000, 0.500) [1 per cell]
Ni (0.500, 0.500, 0.306) [2 per cell]

=====

Record 3
The following is a DFT calculation (GGA-PBE) of an optimized crystal structure of CdSiNi2.

## Properties
Fermi-level density of states = 0.39 states/eV per atom
Size of the total moment = 0.00 μB/f.u.
Raw formation energy = -0.06 eV per atom
ΔE to the lowest computed polymorph = 0.240 eV/atom

Lattice parameters (Å, degrees): 8.530 2.911 4.660 90.00 103.11 90.00
Space group Cm (No. 8)
Symmetry-distinct sites (fractional):
Cd (0.000, 0.000, 0.000) [2 per cell]
Si (0.270, 0.500, 0.387) [2 per cell]
Ni (0.241, 0.000, 0.746) [2 per cell]
Ni (0.493, 0.000, 0.485) [2 per cell]

=====

Record 4
The following is a DFT calculation (GGA-PBE) of an optimized crystal structure of CdSiNi3.

## Properties
Fermi-level density of states = 0.52 states/eV per atom
Size of the total moment = 0.00 μB/f.u.
Raw formation energy = 0.16 eV per atom
ΔE to the lowest computed polymorph = 0.000 eV/atom

Lattice parameters (Å, degrees): 4.239 4.239 4.239 90.00 90.00 90.00
Space group Pm-3m (No. 221)
Symmetry-distinct sites (fractional):
Cd (0.000, 0.000, 0.000) [1 per cell]
Si (0.500, 0.500, 0.500) [1 per cell]
Ni (0.000, 0.500, 0.500) [3 per cell]

=====

Record 5
The following is a DFT calculation (GGA-PBE) of an optimized crystal structure of CdSi2Ni2.

## Properties
Fermi-level density of states = 0.49 states/eV per atom
Size of the total moment = 0.00 μB/f.u.
Raw formation energy = -0.07 eV per atom

Lattice parameters (Å, degrees): 7.122 7.122 2.710 90.00 90.00 90.00
Space group P4/mbm (No. 127)
Symmetry-distinct sites (fractional):
Cd (0.000, 0.000, 0.000) [2 per cell]
Si (0.156, 0.344, 0.500) [4 per cell]
Ni (0.132, 0.632, 0.000) [4 per cell]

=====

Record 6
The following is a DFT calculation (GGA-PBE) of an optimized crystal structure of Cd3SiNi.

## Properties
Fermi-level density of states = 0.60 states/eV per atom
Size of the total moment = 0.00 μB/f.u.
Raw formation energy = 0.57 eV per atom
ΔE to the lowest computed polymorph = 0.000 eV/atom

Lattice parameters (Å, degrees): 4.897 4.897 4.897 90.00 90.00 90.00
Space group Pm-3m (No. 221)
Symmetry-distinct sites (fractional):
Cd (0.000, 0.000, 0.500) [3 per cell]
Si (0.500, 0.500, 0.500) [1 per cell]
Ni (0.000, 0.000, 0.000) [1 per cell]

=====

Record 7
The following is a DFT calculation (GGA-PBE) of an optimized crystal structure of Cd3SiNi.

## Properties
Fermi-level density of states = 0.45 states/eV per atom
Size of the total moment = 0.00 μB/f.u.
Raw formation energy = 0.86 eV per atom
ΔE to the lowest computed polymorph = 0.288 eV/atom

Lattice parameters (Å, degrees): 5.015 5.015 5.015 90.00 90.00 90.00
Space group Pm-3m (No. 221)
Symmetry-distinct sites (fractional):
Cd (0.000, 0.000, 0.500) [3 per cell]
Si (0.000, 0.000, 0.000) [1 per cell]
Ni (0.500, 0.500, 0.500) [1 per cell]

=====

Record 8
The following is a DFT calculation (GGA-PBE) of an optimized crystal structure of CdSi4Ni.

## Properties
Fermi-level density of states = 0.16 states/eV per atom
Size of the total moment = 0.00 μB/f.u.
Raw formation energy = 0.52 eV per atom

Lattice parameters (Å, degrees): 7.224 7.224 7.224 90.00 90.00 90.00
Space group F-43m (No. 216)
Symmetry-distinct sites (fractional):
Cd (0.000, 0.000, 0.000) [4 per cell]
Si (0.124, 0.124, 0.376) [16 per cell]
Ni (0.250, 0.250, 0.750) [4 per cell]

=====

Record 9
The following is a DFT calculation (GGA-PBE) of an optimized crystal structure of CdSiNi2.

## Properties
Fermi-level density of states = 0.32 states/eV per atom
Size of the total moment = 0.00 μB/f.u.
Raw formation energy = 0.07 eV per atom
ΔE to the lowest computed polymorph = 0.366 eV/atom

Lattice parameters (Å, degrees): 6.660 6.660 5.361 90.00 90.00 90.00
Space group I-42d (No. 122)
Symmetry-distinct sites (fractional):
Cd (0.000, 0.000, 0.000) [4 per cell]
Si (0.000, 0.000, 0.500) [4 per cell]
Ni (0.194, 0.250, 0.625) [8 per cell]

=====

Record 10
The following is a DFT calculation (GGA-PBE) of an optimized crystal structure of CdSiNi2.

## Properties
Fermi-level density of states = 0.64 states/eV per atom
Size of the total moment = 0.00 μB/f.u.
Raw formation energy = -0.04 eV per atom
ΔE to the lowest computed polymorph = 0.256 eV/atom

Lattice parameters (Å, degrees): 4.247 4.247 2.954 90.00 90.00 90.00
Space group P4/mmm (No. 123)
Symmetry-distinct sites (fractional):
Cd (0.000, 0.000, 0.000) [1 per cell]
Si (0.500, 0.500, 0.000) [1 per cell]
Ni (0.000, 0.500, 0.500) [2 per cell]

=====

Record 11
The following is a DFT calculation (GGA-PBE) of an optimized crystal structure of CdSiNi2.

## Properties
Fermi-level density of states = 0.62 states/eV per atom
Size of the total moment = 0.00 μB/f.u.
Raw formation energy = -0.03 eV per atom
ΔE to the lowest computed polymorph = 0.268 eV/atom

Lattice parameters (Å, degrees): 3.055 3.055 6.077 90.00 90.00 90.00
Space group P4mm (No. 99)
Symmetry-distinct sites (fractional):
Cd (0.000, 0.000, 0.000) [1 per cell]
Si (0.500, 0.500, 0.648) [1 per cell]
Ni (0.000, 0.000, 0.499) [1 per cell]
Ni (0.500, 0.500, 0.267) [1 per cell]

=====

Record 12
The following is a DFT calculation (GGA-PBE) of an optimized crystal structure of CdSiNi2.

## Properties
Fermi-level density of states = 0.55 states/eV per atom
Size of the total moment = 0.00 μB/f.u.
Raw formation energy = -0.08 eV per atom
ΔE to the lowest computed polymorph = 0.222 eV/atom

Lattice parameters (Å, degrees): 3.675 4.439 6.780 90.00 90.00 90.00
Space group Immm (No. 71)
Symmetry-distinct sites (fractional):
Cd (0.000, 0.000, 0.000) [2 per cell]
Si (0.000, 0.000, 0.500) [2 per cell]
Ni (0.000, 0.500, 0.206) [4 per cell]

=====

Record 13
The following is a DFT calculation (GGA-PBE) of an optimized crystal structure of Sm2CdSi3Ni12.

## Properties
Fermi-level density of states = 0.77 states/eV per atom
Size of the total moment = 0.00 μB/f.u.
Raw formation energy = -0.08 eV per atom

Lattice parameters (Å, degrees): 8.6067 8.6067 11.8490 90.00 90.00 120.00
Space group R-3m (No. 166, hexagonal axes)
Symmetry-distinct sites (fractional):
Sm (0.0000, 0.0000, 0.1521) [6 per cell]
Cd (0.0000, 0.0000, 0.5000) [3 per cell]
Si (0.0000, 0.5000, 0.0000) [9 per cell]
Ni (0.0023, 0.5011, 0.1900) [18 per cell]
Ni (0.0134, 0.5067, 0.3899) [18 per cell]

=====

Record 14
The following is a DFT calculation (GGA-PBE) of an optimized crystal structure of Sr2CdSiNi.

## Properties
Fermi-level density of states = 0.60 states/eV per atom
Size of the total moment = 0.00 μB/f.u.
Raw formation energy = -0.26 eV per atom

Lattice parameters (Å, degrees): 5.775 5.775 4.354 90.00 90.00 90.00
Space group P4/mmm (No. 123)
Symmetry-distinct sites (fractional):
Sr (0.000, 0.500, 0.000) [2 per cell]
Cd (0.000, 0.000, 0.500) [1 per cell]
Si (0.500, 0.500, 0.500) [1 per cell]
Ni (0.500, 0.500, 0.000) [1 per cell]

=====

Record 15
The following is a DFT calculation (GGA-PBE) of an optimized crystal structure of Th2CdSi3Ni12.

## Properties
Fermi-level density of states = 0.65 states/eV per atom
Size of the total moment = 0.00 μB/f.u.
Raw formation energy = -0.14 eV per atom

Lattice parameters (Å, degrees): 8.6091 8.6091 12.0011 90.00 90.00 120.00
Space group R-3m (No. 166, hexagonal axes)
Symmetry-distinct sites (fractional):
Th (0.0000, 0.0000, 0.1555) [6 per cell]
Cd (0.0000, 0.0000, 0.5000) [3 per cell]
Si (0.0000, 0.5000, 0.0000) [9 per cell]
Ni (0.9996, 0.4998, 0.1903) [18 per cell]
Ni (0.0139, 0.5069, 0.3898) [18 per cell]

=====

Record 16
The following is a DFT calculation (GGA-PBE) of an optimized crystal structure of V2CdSiNi.

## Properties
Fermi-level density of states = 2.57 states/eV per atom
Size of the total moment = 0.32 μB/f.u.
Raw formation energy = 2.11 eV per atom

Lattice parameters (Å, degrees): 4.847 4.847 4.512 90.00 90.00 90.00
Space group P4/mmm (No. 123)
Symmetry-distinct sites (fractional):
V (0.000, 0.500, 0.000) [2 per cell]
Cd (0.000, 0.000, 0.000) [1 per cell]
Si (0.000, 0.000, 0.500) [1 per cell]
Ni (0.500, 0.500, 0.500) [1 per cell]

=====

Record 17
The following is a DFT calculation (GGA-PBE) of an optimized crystal structure of CdSi2NiW.

## Properties
Fermi-level density of states = 1.49 states/eV per atom
Size of the total moment = 1.10 μB/f.u.
Raw formation energy = 1.18 eV per atom

Lattice parameters (Å, degrees): 4.688 4.688 5.292 90.00 90.00 90.00
Space group P4/mmm (No. 123)
Symmetry-distinct sites (fractional):
Cd (0.000, 0.000, 0.000) [1 per cell]
Si (0.000, 0.500, 0.500) [2 per cell]
Ni (0.500, 0.500, 0.000) [1 per cell]
W (0.000, 0.000, 0.500) [1 per cell]

=====

Record 18
The following is a DFT calculation (GGA-PBE) of an optimized crystal structure of Sm3CdNi.

## Properties
Fermi-level density of states = 1.04 states/eV per atom
Size of the total moment = 0.00 μB/f.u.
ΔE to the lowest computed polymorph = 0.000 eV/atom

Lattice parameters (Å, degrees): 7.371 4.746 8.301 90.00 111.13 90.00
Space group P2_1/m (No. 11)
Symmetry-distinct sites (fractional):
Sm (0.059, 0.250, 0.251) [2 per cell]
Sm (0.308, 0.250, 0.918) [2 per cell]
Sm (0.342, 0.750, 0.591) [2 per cell]
Cd (0.311, 0.750, 0.185) [2 per cell]
Ni (0.061, 0.250, 0.582) [2 per cell]

=====

Record 19
The following is a DFT calculation (GGA-PBE) of an optimized crystal structure of Sm4CdNi.

## Properties
Fermi-level density of states = 0.83 states/eV per atom
Size of the total moment = 0.00 μB/f.u.
ΔE to the lowest computed polymorph = 0.000 eV/atom

Lattice parameters (Å, degrees): 13.784 13.784 13.784 90.00 90.00 90.00
Space group F-43m (No. 216)
Symmetry-distinct sites (fractional):
Sm (0.000, 0.000, 0.187) [24 per cell]
Sm (0.059, 0.250, 0.250) [24 per cell]
Sm (0.098, 0.098, 0.598) [16 per cell]
Cd (0.170, 0.170, 0.830) [16 per cell]
Ni (0.108, 0.108, 0.392) [16 per cell]

=====

Record 20
The following is a DFT calculation (GGA-PBE) of an optimized crystal structure of SmCd9Ni2.

## Properties
Raw total energy = -25.373 eV/f.u.
Fermi-level density of states = 0.78 states/eV per atom
Size of the total moment = 0.00 μB/f.u.

Lattice parameters (Å, degrees): 11.596 11.596 7.403 90.00 90.00 90.00
Space group I4_1/amd (No. 141, origin choice 2)
Symmetry-distinct sites (fractional):
Sm (0.000, 0.250, 0.375) [4 per cell]
Cd (0.000, 0.250, 0.875) [4 per cell]
Cd (0.121, 0.054, 0.682) [32 per cell]
Ni (0.000, 0.000, 0.000) [8 per cell]

=====

Record 21
The following is a DFT calculation (GGA-PBE) of an optimized crystal structure of SmCd2Ni.

## Properties
Raw total energy = -11.086 eV/f.u.
Fermi-level density of states = 0.77 states/eV per atom
Size of the total moment = 0.00 μB/f.u.

Lattice parameters (Å, degrees): 3.1840 3.1840 31.0816 90.00 90.00 120.00
Space group R-3m (No. 166, hexagonal axes)
Symmetry-distinct sites (fractional):
Sm (0.0000, 0.0000, 0.0000) [3 per cell]
Cd (0.0000, 0.0000, 0.1033) [6 per cell]
Ni (0.0000, 0.0000, 0.5000) [3 per cell]

=====

Record 22
The following is a DFT calculation (GGA-PBE) of an optimized crystal structure of SmCdNi10.

## Properties
Raw total energy = -64.455 eV/f.u.
Fermi-level density of states = 1.26 states/eV per atom
Size of the total moment = 3.86 μB/f.u.

Lattice parameters (Å, degrees): 4.002 4.840 8.371 90.00 90.00 90.00
Space group Pmmm (No. 47)
Symmetry-distinct sites (fractional):
Sm (0.000, 0.000, 0.000) [1 per cell]
Cd (0.000, 0.500, 0.500) [1 per cell]
Ni (0.000, 0.000, 0.340) [2 per cell]
Ni (0.000, 0.500, 0.177) [2 per cell]
Ni (0.500, 0.000, 0.500) [1 per cell]
Ni (0.500, 0.251, 0.253) [4 per cell]
Ni (0.500, 0.500, 0.000) [1 per cell]

=====

Record 23
The following is a DFT calculation (GGA-PBE) of an optimized crystal structure of Sm2Cd3Ni2.

## Properties
Raw total energy = -25.997 eV/f.u.
Fermi-level density of states = 0.65 states/eV per atom
Size of the total moment = 0.00 μB/f.u.

Lattice parameters (Å, degrees): 3.956 20.732 3.742 90.00 90.00 90.00
Space group Cmmm (No. 65)
Symmetry-distinct sites (fractional):
Sm (0.000, 0.172, 0.000) [4 per cell]
Cd (0.000, 0.000, 0.000) [2 per cell]
Cd (0.000, 0.423, 0.500) [4 per cell]
Ni (0.000, 0.286, 0.500) [4 per cell]

=====

Record 24
The following is a DFT calculation (GGA-PBE) of an optimized crystal structure of Sm3CdNi.

## Properties
Fermi-level density of states = 1.78 states/eV per atom
Size of the total moment = 0.00 μB/f.u.
ΔE to the lowest computed polymorph = 0.164 eV/atom

Lattice parameters (Å, degrees): 5.321 5.321 5.321 90.00 90.00 90.00
Space group Pm-3m (No. 221)
Symmetry-distinct sites (fractional):
Sm (0.000, 0.000, 0.500) [3 per cell]
Cd (0.500, 0.500, 0.500) [1 per cell]
Ni (0.000, 0.000, 0.000) [1 per cell]